Computed, not measured: a geometry-optimized K3Ni2IrO6 structure at the PBE+U level of DFT.

## Properties
The total energy comes out at -5.02 eV/atom. As for the crystal system: monoclinic.

Unit cell a=5.516 b=5.516 c=6.203 alpha=98.48 beta=98.48 gamma=120.05
Fractional coordinates of all 12 atoms:
O 0.941 0.627 0.826
O 0.373 0.059 0.174
O 0.745 0.745 0.177
O 0.255 0.255 0.823
O 0.627 0.941 0.826
O 0.059 0.373 0.174
Ni 0.334 0.666 0.000
Ni 0.666 0.334 0.000
K 0.828 0.172 0.500
K 0.500 0.500 0.500
K 0.172 0.828 0.500
Ir 0.000 0.000 0.000